[1]
VASP calculation (PBE-GGA) on crystalline Ba3InBi3 at its relaxed geometry.

Cell lengths 11.723, 11.723, 14.680 Å; angles 90.00, 90.00, 37.30 degrees
Fractional coordinates of all 28 atoms:
Ba 0.025 0.624 0.128
Ba 0.124 0.525 0.628
Ba 0.195 0.805 0.858
Ba 0.305 0.695 0.358
Ba 0.376 0.975 0.128
Ba 0.475 0.876 0.628
Ba 0.525 0.124 0.372
Ba 0.624 0.025 0.872
Ba 0.695 0.305 0.642
Ba 0.805 0.195 0.142
Ba 0.876 0.475 0.372
Ba 0.975 0.376 0.872
In 0.088 0.088 0.500
In 0.412 0.412 0.000
In 0.588 0.588 0.000
In 0.912 0.912 0.500
Bi 0.057 0.619 0.374
Bi 0.119 0.557 0.874
Bi 0.216 0.784 0.612
Bi 0.284 0.716 0.112
Bi 0.381 0.943 0.374
Bi 0.443 0.881 0.874
Bi 0.557 0.119 0.126
Bi 0.619 0.057 0.626
Bi 0.716 0.284 0.888
Bi 0.784 0.216 0.388
Bi 0.881 0.443 0.126
Bi 0.943 0.381 0.626

## Properties
- Space-group type: Cmce, No. 64
- Offset from the most stable computed form: 0 meV per atom

***

[2]
VASP calculation (PBE-GGA) on crystalline Ba2InBi at its relaxed geometry.

Cell lengths 7.799, 7.799, 7.799 Å; angles 104.70, 104.70, 119.50 degrees
Fractional coordinates of all 8 atoms:
Ba 0.114 0.625 0.989
Ba 0.375 0.364 0.489
Ba 0.636 0.125 0.011
Ba 0.875 0.886 0.511
In 0.250 0.750 0.500
In 0.500 0.500 0.000
Bi 0.000 0.000 0.000
Bi 0.750 0.250 0.500

## Properties
- Space-group type: I-42d, No. 122
- Offset from the most stable computed form: 270 meV per atom

***

[3]
VASP calculation (PBE-GGA) on crystalline BaIn2Bi2 at its relaxed geometry.

Cell lengths 8.940, 8.940, 4.155 Å; angles 90.00, 90.00, 90.00 degrees
Fractional coordinates of all 10 atoms:
Ba 0.000 0.000 0.000
Ba 0.500 0.500 0.000
In 0.121 0.379 0.000
In 0.379 0.879 0.000
In 0.621 0.121 0.000
In 0.879 0.621 0.000
Bi 0.170 0.670 0.500
Bi 0.330 0.170 0.500
Bi 0.670 0.830 0.500
Bi 0.830 0.330 0.500

## Properties
- Space-group type: P4/mbm, No. 127

***

[4]
VASP calculation (PBE-GGA) on crystalline Ba3In2Bi5 at its relaxed geometry.

Cell lengths 11.555, 11.555, 11.555 Å; angles 134.86, 71.73, 127.45 degrees
Fractional coordinates of all 20 atoms:
Ba 0.158 0.614 0.772
Ba 0.250 0.250 0.000
Ba 0.342 0.114 0.457
Ba 0.658 0.886 0.543
Ba 0.750 0.750 0.000
Ba 0.842 0.386 0.228
In 0.131 0.020 0.150
In 0.369 0.520 0.889
In 0.631 0.480 0.111
In 0.869 0.980 0.850
Bi 0.029 0.286 0.315
Bi 0.037 0.250 0.787
Bi 0.250 0.750 0.500
Bi 0.463 0.250 0.213
Bi 0.471 0.786 0.257
Bi 0.529 0.214 0.743
Bi 0.537 0.750 0.787
Bi 0.750 0.250 0.500
Bi 0.963 0.750 0.213
Bi 0.971 0.714 0.685

## Properties
- Space-group type: Ibam, No. 72

***

[5]
VASP calculation (PBE-GGA) on crystalline BaIn2Bi2 at its relaxed geometry.

Cell lengths 6.685, 6.685, 6.685 Å; angles 128.95, 128.95, 75.08 degrees
Fractional coordinates of all 5 atoms:
Ba 0.000 0.000 0.000
In 0.365 0.365 0.000
In 0.635 0.635 0.000
Bi 0.250 0.750 0.500
Bi 0.750 0.250 0.500

## Properties
- Space-group type: I4/mmm, No. 139

***

[6]
VASP calculation (PBE-GGA) on crystalline BaIn2Bi2 at its relaxed geometry.

Cell lengths 5.966, 6.608, 10.405 Å; angles 75.42, 86.36, 65.09 degrees
Fractional coordinates of all 10 atoms:
Ba 0.013 0.142 0.173
Ba 0.987 0.858 0.827
In 0.272 0.268 0.674
In 0.313 0.445 0.280
In 0.687 0.555 0.720
In 0.728 0.732 0.326
Bi 0.240 0.756 0.502
Bi 0.471 0.286 0.965
Bi 0.529 0.714 0.035
Bi 0.760 0.244 0.498

## Properties
- Space-group type: P-1, No. 2

***

| no. | E_form (eV/atom) |
| --- | --- |
| 1 | -0.7652 |
| 2 | -0.3475 |
| 3 | -0.3014 |
| 4 | -0.4076 |
| 5 | -0.3604 |
| 6 | -0.3301 |